1.
The following is a DFT calculation (meta-GGA SCAN) of CsNa2Au2 at its PBEsol-relaxed geometry.

Computed properties:
Formation enthalpy at 0 K (eV per atom): -0.3817
E (eV/f.u.): -186.463
Magnetization (μB per atom): 0.000
Theoretical density (kg/m3): 6454

a b c (Å): 4.765 4.765 12.982
angles (deg): 90.00 90.00 90.00
Space group I4/mmm (No. 139)
One atom of each set of equivalent atoms:
Cs (0.000, 0.000, 0.000) (multiplicity 2)
Na (0.000, 0.500, 0.250) (multiplicity 4)
Au (0.000, 0.000, 0.395) (multiplicity 4)

---

2.
The following is a DFT calculation (meta-GGA SCAN) of CoCuB2 at its PBEsol-relaxed geometry.

Computed properties:
Formation enthalpy at 0 K (eV per atom): 0.4275
E (eV/f.u.): -45.652
Magnetization (μB per atom): 0.000
Theoretical density (kg/m3): 7554

a b c (Å): 5.023 5.023 5.023
angles (deg): 90.00 90.00 90.00
Space group Fm-3m (No. 225)
One atom of each set of equivalent atoms:
Co (0.000, 0.000, 0.000) (multiplicity 4)
Cu (0.000, 0.000, 0.500) (multiplicity 4)
B (0.250, 0.250, 0.250) (multiplicity 8)

---

3.
The following is a DFT calculation (meta-GGA SCAN) of Si2OsPt at its PBEsol-relaxed geometry.

Computed properties:
Uncorrected formation energy (meV/atom): -339
E (eV/f.u.): -163.461
Magnetization (μB per atom): 0.000
Theoretical density (kg/m3): 13449

a b c (Å): 2.8601 2.8601 23.0841
angles (deg): 90.00 90.00 120.00
Space group R-3m (No. 166, hexagonal axes)
One atom of each set of equivalent atoms:
Si (0.0000, 0.0000, 0.2471) (multiplicity 6)
Os (0.0000, 0.0000, 0.5000) (multiplicity 3)
Pt (0.0000, 0.0000, 0.0000) (multiplicity 3)

---

4.
The following is a DFT calculation (meta-GGA SCAN) of IrIBr3 at its PBEsol-relaxed geometry.

Computed properties:
Uncorrected formation energy (meV/atom): 373
E (eV/f.u.): -164.356
Magnetization (μB per atom): 0.001
Theoretical density (kg/m3): 7366

a b c (Å): 5.013 5.013 5.013
angles (deg): 90.00 90.00 90.00
Space group Pm-3m (No. 221)
One atom of each set of equivalent atoms:
Ir (0.000, 0.000, 0.000) (multiplicity 1)
I (0.500, 0.500, 0.500) (multiplicity 1)
Br (0.000, 0.000, 0.500) (multiplicity 3)

---

5.
The following is a DFT calculation (meta-GGA SCAN) of Mg4CrAs at its PBEsol-relaxed geometry.

Computed properties:
Formation enthalpy at 0 K (eV per atom): 0.2787
E (eV/f.u.): -56.798
Magnetization (μB per atom): 0.745
Theoretical density (kg/m3): 2977

a b c (Å): 7.938 7.938 7.938
angles (deg): 90.00 90.00 90.00
Space group F-43m (No. 216)
One atom of each set of equivalent atoms:
Mg (0.125, 0.125, 0.125) (multiplicity 16)
Cr (0.250, 0.250, 0.750) (multiplicity 4)
As (0.000, 0.000, 0.500) (multiplicity 4)

---

6.
The following is a DFT calculation (meta-GGA SCAN) of Zr2Al2Cu at its PBEsol-relaxed geometry.

Computed properties:
Formation enthalpy at 0 K (eV per atom): -0.4612
E (eV/f.u.): -94.407
Magnetization (μB per atom): 0.019
Theoretical density (kg/m3): 5683

a b c (Å): 9.426 5.521 6.948
angles (deg): 90.00 104.20 90.00
Space group C2/c (No. 15)
One atom of each set of equivalent atoms:
Zr (0.142, 0.109, 0.142) (multiplicity 8)
Al (0.128, 0.385, 0.492) (multiplicity 8)
Cu (0.000, 0.306, 0.750) (multiplicity 4)

---

7.
The following is a DFT calculation (meta-GGA SCAN) of SrSiNi2 at its PBEsol-relaxed geometry.

Computed properties:
Uncorrected formation energy (meV/atom): 464
E (eV/f.u.): -62.782
Magnetization (μB per atom): 0.000
Theoretical density (kg/m3): 5976

a b c (Å): 3.914 3.914 8.455
angles (deg): 90.00 90.00 90.00
Space group I-4m2 (No. 119)
One atom of each set of equivalent atoms:
Sr (0.000, 0.000, 0.000) (multiplicity 2)
Si (0.000, 0.500, 0.750) (multiplicity 2)
Ni (0.000, 0.000, 0.500) (multiplicity 2)
Ni (0.000, 0.500, 0.250) (multiplicity 2)

---

8.
The following is a DFT calculation (meta-GGA SCAN) of Y2AlIn at its PBEsol-relaxed geometry.

Computed properties:
Formation enthalpy at 0 K (eV per atom): -0.5370
E (eV/f.u.): -98.972
Magnetization (μB per atom): 0.000
Theoretical density (kg/m3): 5519

a b c (Å): 5.138 5.138 3.643
angles (deg): 90.00 90.00 90.00
Space group P4/mmm (No. 123)
One atom of each set of equivalent atoms:
Y (0.000, 0.500, 0.000) (multiplicity 2)
Al (0.000, 0.000, 0.500) (multiplicity 1)
In (0.500, 0.500, 0.500) (multiplicity 1)

---

9.
The following is a DFT calculation (meta-GGA SCAN) of MnAl2Zn at its PBEsol-relaxed geometry.

Computed properties:
Formation enthalpy at 0 K (eV per atom): -0.2835
E (eV/f.u.): -48.408
Magnetization (μB per atom): 0.662
Theoretical density (kg/m3): 5354

a b c (Å): 3.847 3.847 3.654
angles (deg): 90.00 90.00 90.00
Space group P4/mmm (No. 123)
One atom of each set of equivalent atoms:
Mn (0.000, 0.000, 0.000) (multiplicity 1)
Al (0.000, 0.500, 0.500) (multiplicity 2)
Zn (0.500, 0.500, 0.000) (multiplicity 1)

---

10.
The following is a DFT calculation (meta-GGA SCAN) of BaRu3N at its PBEsol-relaxed geometry.

Computed properties:
Uncorrected formation energy (meV/atom): 716
E (eV/f.u.): -149.739
Magnetization (μB per atom): 0.000
Theoretical density (kg/m3): 9952

a b c (Å): 4.233 4.233 4.233
angles (deg): 90.00 90.00 90.00
Space group Pm-3m (No. 221)
One atom of each set of equivalent atoms:
Ba (0.000, 0.000, 0.000) (multiplicity 1)
Ru (0.000, 0.500, 0.500) (multiplicity 3)
N (0.500, 0.500, 0.500) (multiplicity 1)

---

11.
The following is a DFT calculation (meta-GGA SCAN) of CoNiBr2 at its PBEsol-relaxed geometry.

Computed properties:
Uncorrected formation energy (meV/atom): 219
E (eV/f.u.): -71.521
Magnetization (μB per atom): 0.714
Theoretical density (kg/m3): 6298

a b c (Å): 3.438 3.438 12.377
angles (deg): 90.00 90.00 90.00
Space group I-4m2 (No. 119)
One atom of each set of equivalent atoms:
Co (0.000, 0.000, 0.000) (multiplicity 2)
Ni (0.000, 0.500, 0.250) (multiplicity 2)
Br (0.000, 0.000, 0.500) (multiplicity 2)
Br (0.000, 0.500, 0.750) (multiplicity 2)

---

12.
The following is a DFT calculation (meta-GGA SCAN) of Hf3CrMo at its PBEsol-relaxed geometry.

Computed properties:
Formation enthalpy at 0 K (eV per atom): 0.9258
E (eV/f.u.): -236.660
Magnetization (μB per atom): 0.833
Theoretical density (kg/m3): 9506

a b c (Å): 4.924 4.924 4.924
angles (deg): 90.00 90.00 90.00
Space group Pm-3m (No. 221)
One atom of each set of equivalent atoms:
Hf (0.000, 0.000, 0.500) (multiplicity 3)
Cr (0.500, 0.500, 0.500) (multiplicity 1)
Mo (0.000, 0.000, 0.000) (multiplicity 1)